# 1
A geometry-optimized Al4VW structure. Source: Alexandria via LeMat-Bulk, functional PBE.

a = 4.408 Å, b = 7.657 Å, c = 6.916 Å
α = 90.00°, β = 50.36°, γ = 90.00°
Atoms (fractional coordinates):
Al 0.751 0.666 0.249
Al 0.749 0.166 0.751
Al 0.251 0.166 0.249
Al 0.249 0.666 0.751
Al 0.249 0.334 0.751
Al 0.251 0.834 0.249
Al 0.749 0.834 0.751
Al 0.751 0.334 0.249
V 0.500 0.000 0.500
V 0.000 0.500 0.500
W 0.000 0.000 0.000
W 0.500 0.500 0.000

## Properties
The calculated total energy is -37.572 eV/f.u.

***

# 2
A geometry-optimized SrAsPd3 structure. Source: Alexandria via LeMat-Bulk, functional PBE.

a = 5.109 Å, b = 5.109 Å, c = 5.109 Å
α = 90.00°, β = 90.00°, γ = 90.00°
Atoms (fractional coordinates):
Sr 0.000 0.000 0.000
As 0.500 0.500 0.500
Pd 0.000 0.500 0.000
Pd 0.000 0.000 0.500
Pd 0.500 0.000 0.000

## Properties
For the excess energy over the best structure of this formula in the dataset, the calculation gives 761.1 kJ/mol of formula units. The calculated total energy is -16.663 eV/f.u.

***

# 3
A geometry-optimized SmEr2H8 structure. Source: Alexandria via LeMat-Bulk, functional PBE.

a = 3.633 Å, b = 5.183 Å, c = 6.305 Å
α = 114.27°, β = 106.74°, γ = 90.00°
Atoms (fractional coordinates):
Sm 0.500 0.000 0.000
Er 0.169 0.669 0.339
Er 0.831 0.331 0.661
H 0.665 0.900 0.331
H 0.335 0.569 0.669
H 0.157 0.157 0.314
H 0.000 0.283 0.000
H 0.843 0.843 0.686
H 0.665 0.431 0.331
H 0.335 0.100 0.669
H 0.000 0.717 0.000

## Properties
The calculated total energy is -47.449 eV/f.u.

***

# 4
A geometry-optimized Er2Ag2Pt structure. Source: Alexandria via LeMat-Bulk, functional PBE.

a = 4.464 Å, b = 4.464 Å, c = 7.179 Å
α = 90.00°, β = 108.11°, γ = 120.00°
Atoms (fractional coordinates):
Er 0.800 0.400 0.200
Er 0.200 0.600 0.800
Ag 0.293 0.147 0.440
Ag 0.707 0.853 0.560
Pt 0.000 0.000 0.000

## Properties
For the excess energy over the best structure of this formula in the dataset, the calculation gives 0.0 kJ/mol of formula units. The calculated total energy is -23.911 eV/f.u.

***

# 5
A geometry-optimized SnBiS2Cl structure. Source: Alexandria via LeMat-Bulk, functional PBE.

a = 5.367 Å, b = 5.367 Å, c = 5.221 Å
α = 90.00°, β = 90.00°, γ = 90.00°
Atoms (fractional coordinates):
S 0.000 0.500 0.000
S 0.500 0.000 0.000
Cl 0.000 0.000 0.500
Bi 0.000 0.000 0.000
Sn 0.500 0.500 0.500

## Properties
The formation energy without anion corrections is -11.3 kJ/mol of formula units. For the excess energy over the best structure of this formula in the dataset, the calculation gives 251.2 kJ/mol of formula units. The calculated total energy is -18.103 eV/f.u.

***

# 6
A geometry-optimized KMgSb2I structure. Source: Alexandria via LeMat-Bulk, functional PBE.

a = 5.432 Å, b = 5.432 Å, c = 6.458 Å
α = 90.00°, β = 90.00°, γ = 90.00°
Atoms (fractional coordinates):
I 0.000 0.000 0.500
Sb 0.000 0.500 0.000
Sb 0.500 0.000 0.000
K 0.500 0.500 0.500
Mg 0.000 0.000 0.000

## Properties
The formation energy without anion corrections is -65.6 kJ/mol of formula units. For the excess energy over the best structure of this formula in the dataset, the calculation gives 0.0 kJ/mol of formula units. The calculated total energy is -13.167 eV/f.u.

***

# 7
A geometry-optimized SrLa3Ru structure. Source: Alexandria via LeMat-Bulk, functional PBE.

a = 7.074 Å, b = 8.971 Å, c = 11.505 Å
α = 90.00°, β = 90.00°, γ = 90.00°
Atoms (fractional coordinates):
Ru 0.548 0.250 0.550
Ru 0.952 0.750 0.050
Ru 0.452 0.750 0.450
Ru 0.048 0.250 0.950
Sr 0.000 0.000 0.500
Sr 0.500 0.500 0.000
Sr 0.500 0.000 0.000
Sr 0.000 0.500 0.500
La 0.011 0.938 0.857
La 0.489 0.438 0.357
La 0.489 0.062 0.357
La 0.989 0.438 0.143
La 0.989 0.062 0.143
La 0.511 0.562 0.643
La 0.511 0.938 0.643
La 0.011 0.562 0.857
La 0.252 0.250 0.743
La 0.248 0.750 0.243
La 0.748 0.750 0.257
La 0.752 0.250 0.757

## Properties
For the excess energy over the best structure of this formula in the dataset, the calculation gives 95.5 kJ/mol of formula units. The calculated total energy is -25.645 eV/f.u.

***

# 8
A geometry-optimized Zn2Cd2Ga structure. Source: Alexandria via LeMat-Bulk, functional PBE.

a = 3.810 Å, b = 3.810 Å, c = 7.587 Å
α = 75.46°, β = 75.46°, γ = 90.00°
Atoms (fractional coordinates):
Zn 0.750 0.250 0.500
Zn 0.250 0.750 0.500
Ga 0.000 0.000 0.000
Cd 0.398 0.398 0.204
Cd 0.602 0.602 0.796

## Properties
For the excess energy over the best structure of this formula in the dataset, the calculation gives 12.1 kJ/mol of formula units. The calculated total energy is -6.785 eV/f.u.

***

# 9
A geometry-optimized MgTaNi structure. Source: Alexandria via LeMat-Bulk, functional PBE.

a = 6.112 Å, b = 6.112 Å, c = 6.112 Å
α = 153.40°, β = 151.70°, γ = 39.23°
Atoms (fractional coordinates):
Mg 0.982 0.982 0.000
Ni 0.329 0.329 0.000
Ta 0.689 0.689 0.000

## Properties
For the excess energy over the best structure of this formula in the dataset, the calculation gives 0.0 kJ/mol of formula units. The calculated total energy is -19.182 eV/f.u.

***

# 10
A geometry-optimized Sc10Ge3As3 structure. Source: Alexandria via LeMat-Bulk, functional PBE.

a = 5.806 Å, b = 7.955 Å, c = 7.955 Å
α = 120.00°, β = 90.00°, γ = 90.00°
Atoms (fractional coordinates):
Sc 0.250 0.667 0.333
Sc 0.250 0.333 0.667
Sc 0.750 0.333 0.667
Sc 0.750 0.667 0.333
Sc 0.500 0.000 0.756
Sc 0.500 0.756 0.000
Sc 0.500 0.244 0.244
Sc 0.000 0.000 0.244
Sc 0.000 0.244 0.000
Sc 0.000 0.756 0.756
Ge 0.500 0.000 0.391
Ge 0.500 0.391 0.000
Ge 0.500 0.609 0.609
As 0.000 0.000 0.611
As 0.000 0.611 0.000
As 0.000 0.389 0.389

## Properties
The calculated total energy is -106.874 eV/f.u.

***

# 11
A geometry-optimized LaBe3Cl structure. Source: Alexandria via LeMat-Bulk, functional PBE.

a = 4.549 Å, b = 4.549 Å, c = 4.549 Å
α = 90.00°, β = 90.00°, γ = 90.00°
Atoms (fractional coordinates):
Be 0.000 0.500 0.000
Be 0.000 0.000 0.500
Be 0.500 0.000 0.000
Cl 0.000 0.000 0.000
La 0.500 0.500 0.500

## Properties
The formation energy without anion corrections is 452.1 kJ/mol of formula units. For the excess energy over the best structure of this formula in the dataset, the calculation gives 0.0 kJ/mol of formula units. The calculated total energy is -13.267 eV/f.u.

***

# 12
A geometry-optimized La2SmTm5 structure. Source: Alexandria via LeMat-Bulk, functional PBE.

a = 7.116 Å, b = 7.116 Å, c = 7.116 Å
α = 119.16°, β = 119.16°, γ = 91.45°
Atoms (fractional coordinates):
La 0.278 0.778 0.500
La 0.778 0.278 0.500
Sm 0.778 0.778 0.000
Tm 0.278 0.278 0.500
Tm 0.278 0.778 0.000
Tm 0.778 0.278 0.000
Tm 0.778 0.778 0.500
Tm 0.278 0.278 0.000

## Properties
For the excess energy over the best structure of this formula in the dataset, the calculation gives 0.0 kJ/mol of formula units. The calculated total energy is -36.647 eV/f.u.

***

# 13
A geometry-optimized BiSb6Pd12 structure. Source: Alexandria via LeMat-Bulk, functional PBE.

a = 7.749 Å, b = 7.749 Å, c = 7.749 Å
α = 108.00°, β = 108.00°, γ = 108.00°
Atoms (fractional coordinates):
Bi 0.000 0.000 0.000
Sb 0.694 0.282 0.282
Sb 0.282 0.282 0.694
Sb 0.282 0.694 0.282
Sb 0.718 0.718 0.306
Sb 0.306 0.718 0.718
Sb 0.718 0.306 0.718
Pd 0.879 0.121 0.500
Pd 0.881 0.645 0.645
Pd 0.645 0.645 0.881
Pd 0.355 0.119 0.355
Pd 0.355 0.355 0.119
Pd 0.119 0.355 0.355
Pd 0.121 0.500 0.879
Pd 0.500 0.879 0.121
Pd 0.121 0.879 0.500
Pd 0.879 0.500 0.121
Pd 0.500 0.121 0.879
Pd 0.645 0.881 0.645

## Properties
The formation energy without anion corrections is -504.7 kJ/mol of formula units. The calculated total energy is -96.161 eV/f.u.

***

# 14
A geometry-optimized TeSeN2Cl structure. Source: Alexandria via LeMat-Bulk, functional PBE.

a = 4.066 Å, b = 4.066 Å, c = 8.513 Å
α = 90.00°, β = 90.00°, γ = 90.00°
Atoms (fractional coordinates):
N 0.000 0.500 0.000
N 0.500 0.000 0.000
Te 0.000 0.000 0.500
Se 0.500 0.500 0.500
Cl 0.000 0.000 0.000

## Properties
The formation energy without anion corrections is 977.1 kJ/mol of formula units. For the excess energy over the best structure of this formula in the dataset, the calculation gives 309.5 kJ/mol of formula units. The calculated total energy is -14.996 eV/f.u.

***

# 15
A geometry-optimized YMnMo2 structure. Source: Alexandria via LeMat-Bulk, functional PBE.

a = 9.083 Å, b = 9.083 Å, c = 9.083 Å
α = 19.07°, β = 19.07°, γ = 19.07°
Atoms (fractional coordinates):
Mn 0.750 0.750 0.750
Mo 0.015 0.015 0.015
Mo 0.485 0.485 0.485
Y 0.250 0.250 0.250

## Properties
For the excess energy over the best structure of this formula in the dataset, the calculation gives 144.8 kJ/mol of formula units. The calculated total energy is -34.816 eV/f.u.

***

# 16
A geometry-optimized LaAgH3 structure. Source: Alexandria via LeMat-Bulk, functional PBE.

a = 4.434 Å, b = 4.434 Å, c = 4.434 Å
α = 90.00°, β = 90.00°, γ = 90.00°
Atoms (fractional coordinates):
H 0.000 0.500 0.000
H 0.000 0.000 0.500
H 0.500 0.000 0.000
Ag 0.500 0.500 0.500
La 0.000 0.000 0.000

## Properties
For the excess energy over the best structure of this formula in the dataset, the calculation gives 132.6 kJ/mol of formula units. The calculated total energy is -17.345 eV/f.u.

***

# 17
A geometry-optimized LiV2S4 structure. Source: Alexandria via LeMat-Bulk, functional PBE.

a = 6.936 Å, b = 6.936 Å, c = 6.936 Å
α = 120.61°, β = 118.87°, γ = 90.46°
Atoms (fractional coordinates):
Li 0.500 0.000 0.500
Li 0.000 0.000 0.000
V 0.500 0.000 0.000
V 0.500 0.500 0.000
V 0.500 0.500 0.500
V 0.000 0.500 0.500
S 0.255 0.745 0.509
S 0.252 0.742 0.990
S 0.736 0.745 0.991
S 0.748 0.738 0.490
S 0.264 0.255 0.009
S 0.748 0.258 0.010
S 0.252 0.262 0.510
S 0.745 0.255 0.491

## Properties
The formation energy without anion corrections is -631.4 kJ/mol of formula units. For the excess energy over the best structure of this formula in the dataset, the calculation gives 57.3 kJ/mol of formula units. The calculated total energy is -43.205 eV/f.u.

***

# 18
A geometry-optimized AcZn8Cu4 structure. Source: Alexandria via LeMat-Bulk, functional PBE.

a = 4.954 Å, b = 6.920 Å, c = 6.920 Å
α = 82.64°, β = 69.03°, γ = 69.03°
Atoms (fractional coordinates):
Ac 0.000 0.000 0.000
Zn 0.000 0.354 0.646
Zn 0.000 0.646 0.354
Zn 0.354 0.646 0.646
Zn 0.646 0.354 0.354
Zn 0.500 0.765 0.235
Zn 0.500 0.235 0.765
Zn 0.265 0.235 0.235
Zn 0.735 0.765 0.765
Cu 0.000 0.000 0.500
Cu 0.500 0.000 0.500
Cu 0.000 0.500 0.000
Cu 0.500 0.500 0.000

## Properties
The calculated total energy is -32.697 eV/f.u.

***

# 19
A geometry-optimized Ti2NbTlCr structure. Source: Alexandria via LeMat-Bulk, functional PBE.

a = 4.622 Å, b = 4.564 Å, c = 4.622 Å
α = 90.00°, β = 90.00°, γ = 90.00°
Atoms (fractional coordinates):
Cr 0.000 0.000 0.000
Tl 0.500 0.500 0.500
Nb 0.000 0.500 0.000
Ti 0.000 0.000 0.500
Ti 0.500 0.000 0.000

## Properties
The calculated total energy is -34.937 eV/f.u.

***

# 20
A geometry-optimized Sr2Sc2Cl structure. Source: Alexandria via LeMat-Bulk, functional PBE.

a = 4.050 Å, b = 4.050 Å, c = 10.770 Å
α = 79.16°, β = 79.16°, γ = 90.00°
Atoms (fractional coordinates):
Sc 0.750 0.250 0.500
Sc 0.250 0.750 0.500
Sr 0.398 0.398 0.205
Sr 0.602 0.602 0.795
Cl 0.000 0.000 0.000

## Properties
The formation energy without anion corrections is -151.4 kJ/mol of formula units. For the excess energy over the best structure of this formula in the dataset, the calculation gives 0.0 kJ/mol of formula units. The calculated total energy is -19.443 eV/f.u.